# InAg2Hg (PBE, relaxed)
data_InAg2Hg
_cell_length_a 4.890
_cell_length_b 4.890
_cell_length_c 4.890
_cell_angle_alpha 60.00
_cell_angle_beta 60.00
_cell_angle_gamma 60.00
_space_group_name_H-M_alt 'P 1'
_space_group_IT_number 1
_space_group_name_Hall 'P 1'
loop_
_atom_site_label
_atom_site_fract_x
_atom_site_fract_y
_atom_site_fract_z
In1 0.000 0.000 0.000
Ag1 0.250 0.250 0.250
Ag2 0.750 0.750 0.750
Hg1 0.500 0.500 0.500
# * DFT formation energy: 0.25 eV per formula unit
# * energy above the most stable polymorph in this dataset: 34 meV per atom